1.
Below is an optimized crystal structure of BeNiBr4, with properties calculated at the GGA-PBE level.

Results
* VASP energy: -1.3394 eV/atom
* space-group type: F-43m (216)
* Fermi-level density of states: 2.08 states/eV per atom
* volume: 168.57 Å³ per cell
* size of the total moment: 1.661 μB/f.u.

Geometry as POSCAR:
```
BeNiBr4
1.0
0.0000 4.3845 4.3845
4.3845 0.0000 4.3845
4.3845 4.3845 0.0000
Be Ni Br
1 1 4
Direct
0.0000 0.0000 0.0000
0.2500 0.2500 0.2500
0.1254 0.6249 0.6249
0.6249 0.1254 0.6249
0.6249 0.6249 0.1254
0.6249 0.6249 0.6249
```


2.
Below is an optimized crystal structure of InTeS, with properties calculated at the GGA-PBE level.

Results
* space-group type: P3m1 (156)
* Fermi-level density of states: 0.43 states/eV per atom
* polymorph energy (0 for the lowest one): 0.34 eV per formula unit
* volume: 88.92 Å³ per cell
* size of the total moment: 0.000 μB/f.u.

Geometry as POSCAR:
```
InTeS
1.0
3.7482 0.0000 0.0000
-1.8741 3.2460 0.0000
0.0000 0.0000 7.3083
In Te S
1 1 1
Direct
0.0000 0.0000 0.0000
0.6667 0.3333 0.6903
0.3333 0.6667 0.1799
```


3.
Below is an optimized crystal structure of LiTc2Ni, with properties calculated at the GGA-PBE level.

Results
* space-group type: P4mm (99)
* Fermi-level density of states: 0.97 states/eV per atom
* polymorph energy (0 for the lowest one): 0.17 eV per formula unit
* ΔE_f: 152 meV per atom
* volume: 51.71 Å³ per cell
* size of the total moment: 0.000 μB/f.u.

Geometry as POSCAR:
```
LiTc2Ni
1.0
3.0207 0.0000 0.0000
0.0000 3.0207 0.0000
0.0000 0.0000 5.6675
Li Tc Ni
1 2 1
Direct
0.0000 0.0000 0.0000
0.0000 0.0000 0.4865
0.5000 0.5000 0.7339
0.5000 0.5000 0.2023
```


4.
Below is an optimized crystal structure of SrUFeN4, with properties calculated at the GGA-PBE level.

Results
* VASP energy: -8.4842 eV/atom
* space-group type: P2_1/m (11)
* Fermi-level density of states: 0.74 states/eV per atom
* volume: 199.80 Å³ per cell
* size of the total moment: 1.126 μB/f.u.

Geometry as POSCAR:
```
SrUFeN4
1.0
5.5958 0.0000 0.0000
0.0000 5.2469 0.0000
-2.1243 0.0000 6.8052
Sr U Fe N
2 2 2 8
Direct
0.2004 0.2500 0.4219
0.7996 0.7500 0.5781
0.2594 0.2500 0.9423
0.7406 0.7500 0.0577
0.2784 0.7500 0.1846
0.7216 0.2500 0.8154
0.0528 0.7500 0.3220
0.0653 0.7500 0.9426
0.4924 0.5013 0.1988
0.4924 0.9987 0.1988
0.5076 0.0013 0.8012
0.5076 0.4987 0.8012
0.9347 0.2500 0.0574
0.9472 0.2500 0.6780
```


5.
Below is an optimized crystal structure of Nd2Mg3Pt4, with properties calculated at the GGA-PBE level.

Results
* space-group type: Cmce (64)
* Fermi-level density of states: 0.54 states/eV per atom
* ΔE_f: -894 meV per atom
* volume: 363.80 Å³ per cell
* size of the total moment: 0.000 μB/f.u.

Geometry as POSCAR:
```
Nd2Mg3Pt4
1.0
2.9017 -8.1948 0.0000
2.9017 8.1948 0.0000
0.0000 0.0000 7.6498
Nd Mg Pt
4 6 8
Direct
0.1052 0.8948 0.9110
0.3948 0.6052 0.4110
0.6052 0.3948 0.5890
0.8948 0.1052 0.0890
0.0000 0.0000 0.5000
0.0232 0.4768 0.7500
0.4768 0.0232 0.2500
0.5000 0.5000 0.0000
0.5232 0.9768 0.7500
0.9768 0.5232 0.2500
0.1718 0.8282 0.5353
0.1872 0.3128 0.7500
0.3128 0.1872 0.2500
0.3282 0.6718 0.0353
0.6718 0.3282 0.9647
0.6872 0.8128 0.7500
0.8128 0.6872 0.2500
0.8282 0.1718 0.4647
```


6.
Below is an optimized crystal structure of RuS2F2, with properties calculated at the GGA-PBE level.

Results
* space-group type: P4/mbm (127)
* Fermi-level density of states: 0.30 states/eV per atom
* polymorph energy (0 for the lowest one): 0.00 eV per formula unit
* volume: 147.93 Å³ per cell
* size of the total moment: 0.754 μB/f.u.

Geometry as POSCAR:
```
RuS2F2
1.0
5.8552 0.0000 0.0000
0.0000 5.8552 0.0000
0.0000 0.0000 4.3149
Ru S F
2 4 4
Direct
0.0000 0.0000 0.0000
0.5000 0.5000 0.0000
0.1398 0.3602 0.0000
0.3602 0.8602 0.0000
0.6398 0.1398 0.0000
0.8602 0.6398 0.0000
0.1554 0.3446 0.5000
0.3446 0.8446 0.5000
0.6554 0.1554 0.5000
0.8446 0.6554 0.5000
```


7.
Below is an optimized crystal structure of LiAcGa4Ag2, with properties calculated at the GGA-PBE level.

Results
* space-group type: R-3m (166)
* Fermi-level density of states: 0.28 states/eV per atom
* ΔE_f: -298 meV per atom
* volume: 162.66 Å³ per cell
* size of the total moment: 0.000 μB/f.u.

Geometry as POSCAR:
```
LiAcGa4Ag2
1.0
2.2538 1.3012 9.2440
-2.2538 1.3012 9.2440
0.0000 -2.6024 9.2440
Li Ac Ga Ag
1 1 4 2
Direct
0.0000 0.0000 0.0000
0.5000 0.5000 0.5000
0.0972 0.0972 0.0972
0.3734 0.3734 0.3734
0.6266 0.6266 0.6266
0.9028 0.9028 0.9028
0.2702 0.2702 0.2702
0.7298 0.7298 0.7298
```


8.
Below is an optimized crystal structure of TbMgCuTe3, with properties calculated at the GGA-PBE level.

Results
* VASP energy: -4.1661 eV/atom
* space-group type: P2_1/m (11)
* Fermi-level density of states: 0.01 states/eV per atom
* volume: 327.43 Å³ per cell
* size of the total moment: 0.000 μB/f.u.

Geometry as POSCAR:
```
TbMgCuTe3
1.0
8.2899 0.0000 0.0000
0.0000 4.1151 0.0000
-1.6085 0.0000 9.5982
Tb Mg Cu Te
2 2 2 6
Direct
0.1820 0.2500 0.2754
0.8180 0.7500 0.7246
0.3402 0.7500 0.8413
0.6598 0.2500 0.1587
0.0629 0.2500 0.5719
0.9371 0.7500 0.4281
0.0835 0.2500 0.8464
0.2593 0.7500 0.5249
0.4025 0.7500 0.1475
0.5975 0.2500 0.8525
0.7407 0.2500 0.4751
0.9165 0.7500 0.1536
```


9.
Below is an optimized crystal structure of AlGa6Ag2, with properties calculated at the GGA-PBE level.

Results
* space-group type: R3 (146)
* Fermi-level density of states: 0.44 states/eV per atom
* polymorph energy (0 for the lowest one): 0.09 eV per formula unit
* ΔE_f: 44 meV per atom
* volume: 169.61 Å³ per cell
* size of the total moment: 0.000 μB/f.u.

Geometry as POSCAR:
```
AlGa6Ag2
1.0
3.5729 2.0628 3.8355
-3.5729 2.0628 3.8355
0.0000 -4.1256 3.8355
Al Ga Ag
1 6 2
Direct
0.0000 0.0000 0.0000
0.0724 0.5526 0.8448
0.3931 0.9273 0.6228
0.5526 0.8448 0.0724
0.6228 0.3931 0.9273
0.8448 0.0724 0.5526
0.9273 0.6228 0.3931
0.2283 0.2283 0.2283
0.4737 0.4737 0.4737
```


10.
Below is an optimized crystal structure of Co2PtPb, with properties calculated at the GGA-PBE level.

Results
* space-group type: F-43m (216)
* Fermi-level density of states: 1.72 states/eV per atom
* ΔE_f: 373 meV per atom
* volume: 250.63 Å³ per cell
* size of the total moment: 3.248 μB/f.u.

Geometry as POSCAR:
```
Co2PtPb
1.0
6.3049 0.0000 0.0000
0.0000 6.3049 0.0000
0.0000 0.0000 6.3049
Co Pt Pb
8 4 4
Direct
0.0000 0.0000 0.0000
0.0000 0.5000 0.5000
0.2500 0.2500 0.2500
0.2500 0.7500 0.7500
0.5000 0.0000 0.5000
0.5000 0.5000 0.0000
0.7500 0.2500 0.7500
0.7500 0.7500 0.2500
0.2500 0.2500 0.7500
0.2500 0.7500 0.2500
0.7500 0.2500 0.2500
0.7500 0.7500 0.7500
0.0000 0.0000 0.5000
0.0000 0.5000 0.0000
0.5000 0.0000 0.0000
0.5000 0.5000 0.5000
```


11.
Below is an optimized crystal structure of NaSrB2Rh, with properties calculated at the GGA-PBE level.

Results
* space-group type: P4/mmm (123)
* Fermi-level density of states: 1.06 states/eV per atom
* ΔE_f: 2129 meV per atom
* volume: 135.71 Å³ per cell
* size of the total moment: 0.000 μB/f.u.

Geometry as POSCAR:
```
NaSrB2Rh
1.0
5.1318 0.0000 0.0000
0.0000 5.1318 0.0000
0.0000 0.0000 5.1530
Na Sr B Rh
1 1 2 1
Direct
0.0000 0.0000 0.0000
0.5000 0.5000 0.5000
0.0000 0.5000 0.5000
0.5000 0.0000 0.5000
0.5000 0.5000 0.0000
```


12.
Below is an optimized crystal structure of Sr2Cu3Sn4Hg, with properties calculated at the GGA-PBE level.

Results
* space-group type: P-4m2 (115)
* Fermi-level density of states: 0.44 states/eV per atom
* ΔE_f: -314 meV per atom
* volume: 241.33 Å³ per cell
* size of the total moment: 0.000 μB/f.u.

Geometry as POSCAR:
```
Sr2Cu3Sn4Hg
1.0
4.6323 0.0000 0.0000
0.0000 4.6323 0.0000
0.0000 0.0000 11.2467
Sr Cu Sn Hg
2 3 4 1
Direct
0.0000 0.5000 0.2499
0.5000 0.0000 0.7501
0.0000 0.0000 0.0000
0.0000 0.5000 0.6268
0.5000 0.0000 0.3732
0.0000 0.0000 0.5000
0.0000 0.5000 0.8566
0.5000 0.0000 0.1434
0.5000 0.5000 0.5000
0.5000 0.5000 0.0000
```


13.
Below is an optimized crystal structure of KHfAlTe2, with properties calculated at the GGA-PBE level.

Results
* VASP energy: -2.7463 eV/atom
* space-group type: P4/mmm (123)
* Fermi-level density of states: 1.08 states/eV per atom
* volume: 188.32 Å³ per cell
* size of the total moment: 0.986 μB/f.u.

Geometry as POSCAR:
```
KHfAlTe2
1.0
5.9191 0.0000 0.0000
0.0000 5.9191 0.0000
0.0000 0.0000 5.3752
K Hf Al Te
1 1 1 2
Direct
0.0000 0.0000 0.0000
0.0000 0.0000 0.5000
0.5000 0.5000 0.5000
0.0000 0.5000 0.0000
0.5000 0.0000 0.0000
```


14.
Below is an optimized crystal structure of CoAsOs2, with properties calculated at the GGA-PBE level.

Results
* space-group type: C2/m (12)
* Fermi-level density of states: 0.88 states/eV per atom
* ΔE_f: 338 meV per atom
* volume: 112.12 Å³ per cell
* size of the total moment: 0.783 μB/f.u.

Geometry as POSCAR:
```
CoAsOs2
1.0
8.7941 0.0000 0.0000
0.0000 2.8089 0.0000
-0.4596 0.0000 4.5388
Co As Os
2 2 4
Direct
0.0000 0.0000 0.0000
0.5000 0.5000 0.0000
0.0000 0.5000 0.5000
0.5000 0.0000 0.5000
0.2262 0.5000 0.2300
0.2738 0.0000 0.7700
0.7262 0.0000 0.2300
0.7738 0.5000 0.7700
```


15.
Below is an optimized crystal structure of CoSbAu2, with properties calculated at the GGA-PBE level.

Results
* VASP energy: -4.1880 eV/atom
* space-group type: P4/mmm (123)
* Fermi-level density of states: 0.90 states/eV per atom
* volume: 74.72 Å³ per cell
* size of the total moment: 1.721 μB/f.u.

Geometry as POSCAR:
```
CoSbAu2
1.0
3.0355 0.0000 0.0000
0.0000 3.0355 0.0000
0.0000 0.0000 8.1095
Co Sb Au
1 1 2
Direct
0.0000 0.0000 0.0000
0.0000 0.0000 0.5000
0.5000 0.5000 0.2029
0.5000 0.5000 0.7971
```


16.
Below is an optimized crystal structure of CdFe2Cl, with properties calculated at the GGA-PBE level.

Results
* space-group type: Fm-3m (225)
* Fermi-level density of states: 0.59 states/eV per atom
* polymorph energy (0 for the lowest one): 2.62 eV per formula unit
* volume: 258.11 Å³ per cell
* size of the total moment: 4.999 μB/f.u.

Geometry as POSCAR:
```
CdFe2Cl
1.0
6.3670 0.0000 0.0000
0.0000 6.3670 0.0000
0.0000 0.0000 6.3670
Cd Fe Cl
4 8 4
Direct
0.0000 0.0000 0.0000
0.0000 0.5000 0.5000
0.5000 0.0000 0.5000
0.5000 0.5000 0.0000
0.2500 0.2500 0.2500
0.2500 0.2500 0.7500
0.2500 0.7500 0.2500
0.2500 0.7500 0.7500
0.7500 0.2500 0.2500
0.7500 0.2500 0.7500
0.7500 0.7500 0.2500
0.7500 0.7500 0.7500
0.0000 0.0000 0.5000
0.0000 0.5000 0.0000
0.5000 0.0000 0.0000
0.5000 0.5000 0.5000
```


17.
Below is an optimized crystal structure of PrGe2Pt, with properties calculated at the GGA-PBE level.

Results
* space-group type: R-3m (166)
* Fermi-level density of states: 0.73 states/eV per atom
* ΔE_f: -53 meV per atom
* volume: 299.65 Å³ per cell
* size of the total moment: 0.000 μB/f.u.

Geometry as POSCAR:
```
PrGe2Pt
1.0
3.5367 0.0000 0.0000
-1.7683 3.0628 0.0000
0.0000 0.0000 27.6626
Pr Ge Pt
3 6 3
Direct
0.0000 0.0000 0.0000
0.3333 0.6667 0.6667
0.6667 0.3333 0.3333
0.0000 0.0000 0.1100
0.0000 0.0000 0.8900
0.3333 0.6667 0.5566
0.3333 0.6667 0.7767
0.6667 0.3333 0.2233
0.6667 0.3333 0.4434
0.0000 0.0000 0.5000
0.3333 0.6667 0.1667
0.6667 0.3333 0.8333
```


18.
Below is an optimized crystal structure of KSbP, with properties calculated at the GGA-PBE level.

Results
* space-group type: F-43m (216)
* Fermi-level density of states: 0.91 states/eV per atom
* polymorph energy (0 for the lowest one): 3.12 eV per formula unit
* volume: 369.94 Å³ per cell
* size of the total moment: 0.000 μB/f.u.

Geometry as POSCAR:
```
KSbP
1.0
7.1786 0.0000 0.0000
0.0000 7.1786 0.0000
0.0000 0.0000 7.1786
K Sb P
4 4 4
Direct
0.0000 0.0000 0.0000
0.0000 0.5000 0.5000
0.5000 0.0000 0.5000
0.5000 0.5000 0.0000
0.2500 0.2500 0.7500
0.2500 0.7500 0.2500
0.7500 0.2500 0.2500
0.7500 0.7500 0.7500
0.2500 0.2500 0.2500
0.2500 0.7500 0.7500
0.7500 0.2500 0.7500
0.7500 0.7500 0.2500
```


19.
Below is an optimized crystal structure of Dy6Al3S14, with properties calculated at the GGA-PBE level.

Results
* VASP energy: -5.8752 eV/atom
* space-group type: P3 (143)
* Fermi-level density of states: 0.43 states/eV per atom
* volume: 487.98 Å³ per cell
* size of the total moment: 0.001 μB/f.u.

Geometry as POSCAR:
```
Dy6Al3S14
1.0
9.5696 0.0000 0.0000
-4.7848 8.2875 0.0000
0.0000 0.0000 6.1530
Dy Al S
6 3 14
Direct
0.0368 0.4868 0.0000
0.2891 0.1797 0.4929
0.4500 0.9632 0.0000
0.5132 0.5500 0.0000
0.8203 0.1094 0.4929
0.8906 0.7109 0.4929
0.0000 0.0000 0.0668
0.3333 0.6667 0.5727
0.6667 0.3333 0.6720
0.0000 0.0000 0.7038
0.0969 0.2445 0.2226
0.1476 0.9031 0.2226
0.1903 0.7673 0.7301
0.2327 0.4231 0.7301
0.3333 0.6667 0.2084
0.4289 0.2306 0.8928
0.5285 0.0938 0.4278
0.5653 0.4715 0.4278
0.5769 0.8097 0.7301
0.7555 0.8524 0.2226
0.7694 0.1984 0.8928
0.8016 0.5711 0.8928
0.9062 0.4347 0.4278
```


20.
Below is an optimized crystal structure of Cr2Rh2C, with properties calculated at the GGA-PBE level.

Results
* space-group type: P4/mbm (127)
* Fermi-level density of states: 0.60 states/eV per atom
* polymorph energy (0 for the lowest one): 1.42 eV per formula unit
* ΔE_f: 178 meV per atom
* volume: 118.71 Å³ per cell
* size of the total moment: 0.000 μB/f.u.

Geometry as POSCAR:
```
Cr2Rh2C
1.0
5.2185 0.0000 0.0000
0.0000 5.2185 0.0000
0.0000 0.0000 4.3590
Cr Rh C
4 4 2
Direct
0.1525 0.3475 0.0000
0.3475 0.8475 0.0000
0.6525 0.1525 0.0000
0.8475 0.6525 0.0000
0.1699 0.6699 0.5000
0.3301 0.1699 0.5000
0.6699 0.8301 0.5000
0.8301 0.3301 0.5000
0.0000 0.0000 0.0000
0.5000 0.5000 0.0000
```